Entry from the Alexandria database: crystalline Li2VSnP2O8 at its relaxed geometry (GGA-PBEsol).

a = 4.745 Å, b = 6.165 Å, c = 11.259 Å
α = 90.00°, β = 90.72°, γ = 90.00°
Sites, in units of the cell vectors:
1 Li 0.000 0.000 0.000
2 Li 0.000 0.500 0.000
3 Li 0.500 0.000 0.500
4 Li 0.500 0.500 0.500
5 V 0.063 0.250 0.293
6 V 0.937 0.750 0.707
7 Sn 0.492 0.250 0.773
8 Sn 0.508 0.750 0.227
9 P 0.079 0.750 0.427
10 P 0.350 0.750 0.878
11 P 0.650 0.250 0.122
12 P 0.921 0.250 0.573
13 O 0.193 0.750 0.556
14 O 0.200 0.550 0.817
15 O 0.200 0.950 0.817
16 O 0.216 0.548 0.366
17 O 0.216 0.952 0.366
18 O 0.245 0.250 0.586
19 O 0.254 0.750 0.009
20 O 0.330 0.250 0.136
21 O 0.670 0.750 0.864
22 O 0.746 0.250 0.991
23 O 0.755 0.750 0.414
24 O 0.784 0.048 0.634
25 O 0.784 0.452 0.634
26 O 0.800 0.050 0.183
27 O 0.800 0.450 0.183
28 O 0.807 0.250 0.444

Values from the calculation:
**Final energy**: -7.150 eV per atom
**Magnetization**: 3.00 μB/f.u.

Entry from the Alexandria database: crystalline LiTaPO2 at its relaxed geometry (GGA-PBEsol).

a = 3.871 Å, b = 3.871 Å, c = 5.187 Å
α = 90.00°, β = 90.00°, γ = 90.00°
Sites, in units of the cell vectors:
1 Li 0.000 0.000 0.000
2 Ta 0.500 0.500 0.500
3 P 0.500 0.500 0.000
4 O 0.000 0.500 0.500
5 O 0.500 0.000 0.500

Values from the calculation:
**D(E_F)**: 0.748 states/eV/atom
**Final energy**: -7.656 eV per atom
**Magnetization**: 0.01 μB/f.u.

Entry from the Alexandria database: crystalline Li3Ti2P3O12 at its relaxed geometry (GGA-PBEsol).

a = 8.981 Å, b = 8.981 Å, c = 8.981 Å
α = 55.76°, β = 55.76°, γ = 55.76°
Sites, in units of the cell vectors:
1 Li 0.167 0.422 0.767
2 Li 0.233 0.833 0.578
3 Li 0.422 0.767 0.167
4 Li 0.578 0.233 0.833
5 Li 0.767 0.167 0.422
6 Li 0.833 0.578 0.233
7 Ti 0.150 0.150 0.150
8 Ti 0.354 0.354 0.354
9 Ti 0.646 0.646 0.646
10 Ti 0.850 0.850 0.850
11 P 0.042 0.748 0.460
12 P 0.252 0.540 0.958
13 P 0.460 0.042 0.748
14 P 0.540 0.958 0.252
15 P 0.748 0.460 0.042
16 P 0.958 0.252 0.540
17 O 0.004 0.965 0.336
18 O 0.035 0.664 0.996
19 O 0.043 0.708 0.655
20 O 0.111 0.310 0.497
21 O 0.247 0.626 0.360
22 O 0.292 0.345 0.957
23 O 0.310 0.497 0.111
24 O 0.336 0.004 0.965
25 O 0.345 0.957 0.292
26 O 0.360 0.247 0.626
27 O 0.374 0.640 0.753
28 O 0.497 0.111 0.310
29 O 0.503 0.889 0.690
30 O 0.626 0.360 0.247
31 O 0.640 0.753 0.374
32 O 0.655 0.043 0.708
33 O 0.664 0.996 0.035
34 O 0.690 0.503 0.889
35 O 0.708 0.655 0.043
36 O 0.753 0.374 0.640
37 O 0.889 0.690 0.503
38 O 0.957 0.292 0.345
39 O 0.965 0.336 0.004
40 O 0.996 0.035 0.664

Values from the calculation:
**D(E_F)**: 0.602 states/eV/atom
**Final energy**: -7.617 eV per atom
**Magnetization**: 2.00 μB/f.u.
**Energy relative to the lowest polymorph listed for this composition**: 5 meV per atom

Entry from the Alexandria database: crystalline Li3Ti2P3O12 at its relaxed geometry (GGA-PBEsol).

a = 8.359 Å, b = 8.387 Å, c = 8.995 Å
α = 62.33°, β = 62.46°, γ = 60.14°
Sites, in units of the cell vectors:
1 Li 0.000 0.000 0.000
2 Li 0.065 0.409 0.714
3 Li 0.253 0.349 0.998
4 Li 0.413 0.808 0.723
5 Li 0.566 0.642 0.211
6 Li 0.664 0.147 0.720
7 Ti 0.181 0.932 0.294
8 Ti 0.477 0.222 0.421
9 Ti 0.681 0.426 0.810
10 Ti 0.977 0.731 0.905
11 P 0.083 0.113 0.612
12 P 0.293 0.619 0.103
13 P 0.373 0.532 0.610
14 P 0.580 0.037 0.107
15 P 0.796 0.826 0.603
16 P 0.875 0.329 0.108
17 O 0.080 0.205 0.126
18 O 0.126 0.923 0.769
19 O 0.136 0.065 0.448
20 O 0.161 0.582 0.055
21 O 0.176 0.537 0.760
22 O 0.197 0.827 0.117
23 O 0.207 0.219 0.586
24 O 0.337 0.472 0.273
25 O 0.343 0.678 0.433
26 O 0.457 0.928 0.141
27 O 0.472 0.325 0.595
28 O 0.487 0.609 0.950
29 O 0.499 0.574 0.660
30 O 0.527 0.087 0.271
31 O 0.536 0.228 0.951
32 O 0.588 0.951 0.591
33 O 0.718 0.281 0.278
34 O 0.796 0.914 0.054
35 O 0.818 0.875 0.740
36 O 0.830 0.610 0.664
37 O 0.834 0.546 0.059
38 O 0.866 0.240 0.667
39 O 0.874 0.286 0.956
40 O 0.945 0.877 0.426

Values from the calculation:
**D(E_F)**: 0.571 states/eV/atom
**Final energy**: -7.616 eV per atom
**Magnetization**: 2.00 μB/f.u.
**Energy relative to the lowest polymorph listed for this composition**: 5 meV per atom

Number 1: formation energy from raw total energies -2.050 eV per atom. Number 2: formation energy from raw total energies -1.495 eV per atom. Number 3: formation energy from raw total energies -2.471 eV per atom. Number 4: formation energy from raw total energies -2.471 eV per atom.